Entry from Alexandria: a geometry-optimized Li3In2Pd3 structure (PBE-GGA).

a = 4.5045 Å, b = 4.5045 Å, c = 7.8088 Å
α = 73.24°, β = 73.24°, γ = 60.00°
Positions (direct):
Li 0.2481 0.2481 0.2557
Li 0.7523 0.7523 0.7432
Li 0.6252 0.6252 0.1244
In 0.0007 0.0007 0.9978
In 0.4990 0.4990 0.5030
Pd 0.1252 0.1252 0.6244
Pd 0.8756 0.8756 0.3731
Pd 0.3738 0.3738 0.8785

Output
Volume ... 129 Å³/cell
Total magnetic moment ... 0.000 μB per formula unit
Excess energy over the best structure of this formula in the dataset ... 0 meV/atom
Calculated formation energy ... -0.545 eV/atom